[1]
Compound: CsMn2AgBr6
Source: Alexandria
Functional: PBE
Structure: relaxed

The energy relative to the elements, uncorrected comes out at -0.894 eV/atom.

It has space group C2/c (No. 15), with a = 14.907 Å, b = 13.600 Å, c = 7.744 Å, α = 90.00°, β = 110.69° and γ = 90.00°. The asymmetric unit holds Cs at (0.000, 0.192, 0.250), Mn at (0.224, 0.093, 0.823), Ag at (0.000, 0.357, 0.750), Br at (0.101, 0.416, 0.101), Br at (0.144, 0.023, 0.041) and Br at (0.158, 0.258, 0.710).



[2]
Compound: LiFeSn3
Source: Alexandria
Functional: PBE
Structure: relaxed

The value obtained for the formation energy is 0.54 eV per formula unit.

It has space group Pm-3m (No. 221), with a = 5.032 Å, b = 5.032 Å, c = 5.032 Å, α = 90.00°, β = 90.00° and γ = 90.00°. The asymmetric unit holds Li at (0.000, 0.000, 0.000), Fe at (0.500, 0.500, 0.500) and Sn at (0.000, 0.500, 0.500).



[3]
Compound: Mn2CdTcPt
Source: Alexandria
Functional: PBE
Structure: relaxed

The value obtained for the formation energy is 5.95 eV per formula unit.

It has space group P4/mmm (No. 123), with a = 4.440 Å, b = 4.440 Å, c = 5.109 Å, α = 90.00°, β = 90.00° and γ = 90.00°. The asymmetric unit holds Mn at (0.000, 0.500, 0.000), Cd at (0.000, 0.000, 0.500), Tc at (0.000, 0.000, 0.000) and Pt at (0.500, 0.500, 0.500).



[4]
Compound: LaBiSe3
Source: Alexandria
Functional: PBE
Structure: relaxed

The energy relative to the elements, uncorrected comes out at -1.188 eV/atom.

It has space group Pnma (No. 62), with a = 8.078 Å, b = 4.215 Å, c = 16.383 Å, α = 90.00°, β = 90.00° and γ = 90.00°. The asymmetric unit holds La at (0.132, 0.250, 0.200), Bi at (0.221, 0.750, 0.455), Se at (0.004, 0.250, 0.393), Se at (0.124, 0.750, 0.066) and Se at (0.155, 0.250, 0.781).



[5]
Compound: RuPt2Cl
Source: Alexandria
Functional: PBE
Structure: relaxed

The energy relative to the elements, uncorrected comes out at 0.259 eV/atom.

It has space group Cm (No. 8), with a = 8.852 Å, b = 2.817 Å, c = 6.464 Å, α = 90.00°, β = 99.32° and γ = 90.00°. The asymmetric unit holds Ru at (0.000, 0.000, 0.000), Pt at (0.244, 0.500, 0.145), Pt at (0.495, 0.000, 0.344) and Cl at (0.427, 0.000, 0.694).



[6]
Compound: HfSc3Be
Source: Alexandria
Functional: PBE
Structure: relaxed

The value obtained for the formation energy is 6.04 eV per formula unit.

It has space group Pm-3m (No. 221), with a = 5.145 Å, b = 5.145 Å, c = 5.145 Å, α = 90.00°, β = 90.00° and γ = 90.00°. The asymmetric unit holds Hf at (0.000, 0.000, 0.000), Sc at (0.000, 0.000, 0.500) and Be at (0.500, 0.500, 0.500).



no.,magnetic moment (μB/cell)
1,40.000
2,2.616
3,5.264
4,0.000
5,0.006
6,0.000